<P>
{"formula": "Nd2Pa2Te7", "functional": "PBE", "state": "optimized geometry", "vol_a3_per_fu": 344.67, "space_group": "No. 44", "lattice_angstrom": [[4.234, 0.000, 0.908], [1.186, 8.372, 4.793], [0.130, -0.062, 9.719]], "species": ["Te", "Te", "Te", "Nd", "Pa", "Pa", "Te", "Te", "Te", "Te", "Nd"], "frac_coords": [[0.864, 0.422, 0.850], [0.500, 0.013, 0.987], [0.822, 0.065, 0.290], [0.738, 0.856, 0.668], [0.000, 0.775, 0.225], [0.500, 0.326, 0.674], [0.178, 0.710, 0.935], [0.394, 0.708, 0.504], [0.606, 0.496, 0.292], [0.136, 0.150, 0.578], [0.262, 0.332, 0.144]]}

<Q>
{"formula": "Nd2Pa2Te7", "functional": "PBE", "state": "optimized geometry", "vol_a3_per_fu": 494.15, "space_group": "No. 12", "lattice_angstrom": [[-5.528, 1.491, 5.635], [3.347, -6.190, 4.219], [3.840, 7.155, 1.172]], "species": ["Te", "Te", "Te", "Te", "Nd", "Pa", "Te", "Te", "Te", "Pa", "Nd"], "frac_coords": [[0.735, 0.597, 0.597], [0.000, 0.000, 0.000], [0.733, 0.433, 0.042], [0.267, 0.567, 0.958], [0.500, 0.313, 0.687], [0.887, 0.297, 0.297], [0.267, 0.958, 0.567], [0.265, 0.403, 0.403], [0.733, 0.042, 0.433], [0.113, 0.703, 0.703], [0.500, 0.687, 0.313]]}

Of them, <Q> has the lowest stability.